No. 1
# TaFe2Cu

A relaxed structure of TaFe2Cu (GGA-PBE, Alexandria). Values from VASP.

Output
space-group type = R3m, No. 160
magnetization = 4.61 μB per formula unit
energy of formation from the pure elements = 1.08 eV/f.u.

The structure in Quantum ESPRESSO input format:
```
&SYSTEM
  ibrav = 0, nat = 4, ntyp = 3
/
ATOMIC_SPECIES
Fe 55.84 Fe.upf
Ta 180.95 Ta.upf
Cu 63.55 Cu.upf
CELL_PARAMETERS angstrom
-6.5413 1.9064 -5.1979
-4.8445 0.7440 -7.0299
-6.5139 -0.8305 -5.5065
ATOMIC_POSITIONS angstrom
Fe -4.6097 0.4687 -4.5671
Ta -8.9853 0.9136 -8.9023
Cu -13.3109 1.3534 -13.1879
Fe -17.8432 1.8142 -17.6783
```

***

No. 2
# TaFeCu2

A relaxed structure of TaFeCu2 (GGA-PBE, Alexandria). Values from VASP.

Output
space-group type = R-3m, No. 166
magnetization = 2.63 μB per formula unit
energy above the most stable polymorph in this dataset = 0.913 eV per formula unit
energy of formation from the pure elements = 1.07 eV/f.u.

The structure in Quantum ESPRESSO input format:
```
&SYSTEM
  ibrav = 0, nat = 4, ntyp = 3
/
ATOMIC_SPECIES
Cu 63.55 Cu.upf
Ta 180.95 Ta.upf
Fe 55.84 Fe.upf
CELL_PARAMETERS angstrom
-0.8385 3.1007 -8.3161
-3.4277 3.3115 -7.5340
-1.6735 5.3023 -6.9686
ATOMIC_POSITIONS angstrom
Cu -3.0011 5.9188 -11.5292
Cu -5.9086 11.6530 -22.6988
Ta -4.4548 8.7859 -17.1140
Fe -1.4849 2.9286 -5.7047
```

***

No. 3
# TaFe2Cu

A relaxed structure of TaFe2Cu (GGA-PBE, Alexandria). Values from VASP.

Output
space-group type = P4mm, No. 99
magnetization = 0.58 μB per formula unit
energy of formation from the pure elements = 0.67 eV/f.u.

The structure in Quantum ESPRESSO input format:
```
&SYSTEM
  ibrav = 0, nat = 4, ntyp = 3
/
ATOMIC_SPECIES
Ta 180.95 Ta.upf
Fe 55.84 Fe.upf
Cu 63.55 Cu.upf
CELL_PARAMETERS angstrom
2.6478 0.0000 0.0000
0.0000 2.6478 0.0000
0.0000 0.0000 7.4981
ATOMIC_POSITIONS angstrom
Ta 0.0000 0.0000 3.7283
Fe 1.3239 1.3239 1.6577
Fe 0.0000 0.0000 0.0726
Cu 1.3239 1.3239 5.7885
```

***

No. 4
# Ta3FeCu

A relaxed structure of Ta3FeCu (GGA-PBE, Alexandria). Values from VASP.

Output
space-group type = Pm-3m, No. 221
magnetization = 0.00 μB per formula unit
energy above the most stable polymorph in this dataset = 3.586 eV per formula unit
energy of formation from the pure elements = 7.96 eV/f.u.

The structure in Quantum ESPRESSO input format:
```
&SYSTEM
  ibrav = 0, nat = 5, ntyp = 3
/
ATOMIC_SPECIES
Ta 180.95 Ta.upf
Cu 63.55 Cu.upf
Fe 55.84 Fe.upf
CELL_PARAMETERS angstrom
-1.0237 4.2697 1.2730
-2.7378 0.4277 -3.6361
-3.5151 -1.5766 2.4612
ATOMIC_POSITIONS angstrom
Ta -1.7576 -0.7883 1.2306
Cu 0.0000 0.0000 0.0000
Fe -3.6383 1.5604 0.0491
Ta -1.3689 0.2138 -1.8180
Ta -0.5118 2.1349 0.6365
```

***

No. 5
# TaFeCu2

A relaxed structure of TaFeCu2 (GGA-PBE, Alexandria). Values from VASP.

Output
space-group type = Cmmm, No. 65
magnetization = 1.47 μB per formula unit
energy above the most stable polymorph in this dataset = 0.696 eV per formula unit
energy of formation from the pure elements = 0.86 eV/f.u.

The structure in Quantum ESPRESSO input format:
```
&SYSTEM
  ibrav = 0, nat = 4, ntyp = 3
/
ATOMIC_SPECIES
Cu 63.55 Cu.upf
Fe 55.84 Fe.upf
Ta 180.95 Ta.upf
CELL_PARAMETERS angstrom
5.7148 0.0279 0.0933
-2.2513 4.1506 -0.0440
1.2122 0.6833 2.2883
ATOMIC_POSITIONS angstrom
Cu 3.4635 0.3556 1.1908
Cu 0.0000 0.0000 0.0000
Fe -0.5195 2.4169 1.1221
Ta 1.7317 2.0892 0.0246
```

***

No. 6
# TaFe4Cu2

A relaxed structure of TaFe4Cu2 (GGA-PBE, Alexandria). Values from VASP.

Output
space-group type = I4/mmm, No. 139
magnetization = 8.10 μB per formula unit
energy of formation from the pure elements = 9.14 eV/f.u.

The structure in Quantum ESPRESSO input format:
```
&SYSTEM
  ibrav = 0, nat = 7, ntyp = 3
/
ATOMIC_SPECIES
Ta 180.95 Ta.upf
Fe 55.84 Fe.upf
Cu 63.55 Cu.upf
CELL_PARAMETERS angstrom
-3.4387 0.8768 -2.6552
-0.9661 -4.3219 -0.1759
-5.8215 -1.1126 3.4727
ATOMIC_POSITIONS angstrom
Ta 0.0000 0.0000 0.0000
Fe -0.4831 -2.1610 -0.0880
Fe -4.3397 -1.3623 1.4713
Cu -7.2894 -2.9590 1.0650
Cu -2.9369 -1.5988 -0.4235
Fe -5.8866 -3.1954 -0.8297
Fe -1.7193 0.4384 -1.3276
```

***

No. 7
# TaFeCu2

A relaxed structure of TaFeCu2 (GGA-PBE, Alexandria). Values from VASP.

Output
space-group type = Pmmm, No. 47
magnetization = 2.01 μB per formula unit
energy above the most stable polymorph in this dataset = 0.521 eV per formula unit
energy of formation from the pure elements = 0.68 eV/f.u.

The structure in Quantum ESPRESSO input format:
```
&SYSTEM
  ibrav = 0, nat = 4, ntyp = 3
/
ATOMIC_SPECIES
Ta 180.95 Ta.upf
Cu 63.55 Cu.upf
Fe 55.84 Fe.upf
CELL_PARAMETERS angstrom
-0.3196 -0.3549 -2.6468
-2.9702 -2.0975 0.6399
-3.1684 4.4225 -0.2104
ATOMIC_POSITIONS angstrom
Ta -4.0212 2.0907 -1.1612
Cu -0.0651 0.0909 -0.0043
Fe -2.4370 -0.1206 -1.0560
Cu -1.5190 2.1203 -0.1009
```

***

No. 8
# TaFe3Cu

A relaxed structure of TaFe3Cu (GGA-PBE, Alexandria). Values from VASP.

Output
space-group type = Pm-3m, No. 221
magnetization = 7.15 μB per formula unit
energy above the most stable polymorph in this dataset = 0.000 eV per formula unit
energy of formation from the pure elements = 5.81 eV/f.u.

The structure in Quantum ESPRESSO input format:
```
&SYSTEM
  ibrav = 0, nat = 5, ntyp = 3
/
ATOMIC_SPECIES
Fe 55.84 Fe.upf
Ta 180.95 Ta.upf
Cu 63.55 Cu.upf
CELL_PARAMETERS angstrom
4.2913 0.0000 0.0000
0.0000 4.2913 0.0000
0.0000 0.0000 4.2913
ATOMIC_POSITIONS angstrom
Fe 0.0000 0.0000 2.1457
Ta 2.1457 2.1457 2.1457
Fe 0.0000 2.1457 0.0000
Fe 2.1457 0.0000 0.0000
Cu 0.0000 0.0000 0.0000
```

***

No. 9
# TaFeCu2

A relaxed structure of TaFeCu2 (GGA-PBE, Alexandria). Values from VASP.

Output
space-group type = Fm-3m, No. 225
magnetization = 0.00 μB per formula unit
energy above the most stable polymorph in this dataset = 1.186 eV per formula unit
energy of formation from the pure elements = 1.35 eV/f.u.

The structure in Quantum ESPRESSO input format:
```
&SYSTEM
  ibrav = 0, nat = 4, ntyp = 3
/
ATOMIC_SPECIES
Ta 180.95 Ta.upf
Fe 55.84 Fe.upf
Cu 63.55 Cu.upf
CELL_PARAMETERS angstrom
-2.6517 -3.2662 -0.0326
-3.5193 0.1704 -2.2992
-0.3729 -2.3725 -3.4544
ATOMIC_POSITIONS angstrom
Ta -3.2719 -2.7341 -2.8931
Fe 0.0000 0.0000 0.0000
Cu -4.9079 -4.1011 -4.3396
Cu -1.6360 -1.3670 -1.4465
```

***

No. 10
# TaFe2Cu

A relaxed structure of TaFe2Cu (GGA-PBE, Alexandria). Values from VASP.

Output
space-group type = Pmmm, No. 47
magnetization = 2.59 μB per formula unit
energy of formation from the pure elements = 0.19 eV/f.u.

The structure in Quantum ESPRESSO input format:
```
&SYSTEM
  ibrav = 0, nat = 4, ntyp = 3
/
ATOMIC_SPECIES
Cu 63.55 Cu.upf
Fe 55.84 Fe.upf
Ta 180.95 Ta.upf
CELL_PARAMETERS angstrom
-2.2015 -0.5426 2.1267
-1.7865 -1.3242 -2.1871
2.2239 -4.7859 1.0811
ATOMIC_POSITIONS angstrom
Cu -0.3261 -4.5228 0.7807
Fe 1.1514 -2.4779 0.5597
Fe 2.1844 -4.7010 1.0619
Ta -1.4380 -2.1298 0.2401
```

***

No. 11
# TaFeCu2

A relaxed structure of TaFeCu2 (GGA-PBE, Alexandria). Values from VASP.

Output
space-group type = Cm, No. 8
magnetization = 1.76 μB per formula unit
energy above the most stable polymorph in this dataset = 0.500 eV per formula unit
energy of formation from the pure elements = 0.66 eV/f.u.

The structure in Quantum ESPRESSO input format:
```
&SYSTEM
  ibrav = 0, nat = 4, ntyp = 3
/
ATOMIC_SPECIES
Cu 63.55 Cu.upf
Fe 55.84 Fe.upf
Ta 180.95 Ta.upf
CELL_PARAMETERS angstrom
4.5517 -0.0124 0.0333
3.7502 2.5795 0.0333
0.8056 0.2491 4.5947
ATOMIC_POSITIONS angstrom
Cu 0.8459 0.2616 4.4947
Fe 4.4792 1.3851 2.3419
Cu 6.8583 2.1207 3.5356
Ta 2.2834 0.7061 1.2146
```

***

No. 12
# TaFe2Cu

A relaxed structure of TaFe2Cu (GGA-PBE, Alexandria). Values from VASP.

Output
space-group type = F-43m, No. 216
magnetization = 4.12 μB per formula unit
energy of formation from the pure elements = 0.45 eV/f.u.

The structure in Quantum ESPRESSO input format:
```
&SYSTEM
  ibrav = 0, nat = 4, ntyp = 3
/
ATOMIC_SPECIES
Ta 180.95 Ta.upf
Fe 55.84 Fe.upf
Cu 63.55 Cu.upf
CELL_PARAMETERS angstrom
-2.8735 -3.0925 0.1950
0.3362 -3.0143 2.9428
-2.7450 -0.1344 3.2103
ATOMIC_POSITIONS angstrom
Ta -1.3206 -1.5603 1.5870
Fe -3.9618 -4.6809 4.7610
Fe 0.0000 0.0000 0.0000
Cu -2.6412 -3.1206 3.1740
```

***

No. 13
# TaFe2Cu

A relaxed structure of TaFe2Cu (GGA-PBE, Alexandria). Values from VASP.

Output
space-group type = P4/mmm, No. 123
magnetization = 1.84 μB per formula unit
energy of formation from the pure elements = -0.04 eV/f.u.

The structure in Quantum ESPRESSO input format:
```
&SYSTEM
  ibrav = 0, nat = 4, ntyp = 3
/
ATOMIC_SPECIES
Cu 63.55 Cu.upf
Fe 55.84 Fe.upf
Ta 180.95 Ta.upf
CELL_PARAMETERS angstrom
3.8188 0.0000 0.0000
0.0000 3.8190 0.0000
0.0000 0.0000 3.4783
ATOMIC_POSITIONS angstrom
Cu 0.0000 1.9095 1.7392
Fe 0.0000 0.0000 0.0000
Ta 1.9094 0.0000 1.7392
Fe 1.9094 1.9095 0.0000
```

***

No. 14
# TaFe2Cu

A relaxed structure of TaFe2Cu (GGA-PBE, Alexandria). Values from VASP.

Output
space-group type = I-4m2, No. 119
magnetization = 2.89 μB per formula unit
energy of formation from the pure elements = 0.09 eV/f.u.

The structure in Quantum ESPRESSO input format:
```
&SYSTEM
  ibrav = 0, nat = 4, ntyp = 3
/
ATOMIC_SPECIES
Ta 180.95 Ta.upf
Fe 55.84 Fe.upf
Cu 63.55 Cu.upf
CELL_PARAMETERS angstrom
-1.0339 4.2624 1.5517
-2.2506 -0.0914 4.0708
3.9045 -1.9928 -1.5585
ATOMIC_POSITIONS angstrom
Ta -1.6423 2.0855 2.8112
Fe 0.0000 0.0000 0.0000
Fe 0.0058 0.0006 2.6618
Cu 0.6141 2.1776 1.4022
```

***

No. 15
# TaFeCu2

A relaxed structure of TaFeCu2 (GGA-PBE, Alexandria). Values from VASP.

Output
space-group type = I-42d, No. 122
magnetization = 1.53 μB per formula unit
energy above the most stable polymorph in this dataset = 2.121 eV per formula unit
energy of formation from the pure elements = 2.28 eV/f.u.

The structure in Quantum ESPRESSO input format:
```
&SYSTEM
  ibrav = 0, nat = 8, ntyp = 3
/
ATOMIC_SPECIES
Ta 180.95 Ta.upf
Fe 55.84 Fe.upf
Cu 63.55 Cu.upf
CELL_PARAMETERS angstrom
-3.1752 3.4701 -5.0082
-1.5280 -5.9205 -3.1335
-4.4344 -1.3433 -2.8321
ATOMIC_POSITIONS angstrom
Ta -4.9806 0.4508 -5.9556
Fe -4.1570 -4.2445 -5.0182
Cu -2.5423 -3.5129 -3.4216
Cu -3.2023 1.0035 -4.1007
Ta 0.0000 0.0000 0.0000
Cu -5.1289 -2.0790 -5.2580
Cu -7.4017 -2.9989 -9.1673
Fe -2.3516 -1.2252 -4.0709
```

***

No. 16
# TaFe2Cu

A relaxed structure of TaFe2Cu (GGA-PBE, Alexandria). Values from VASP.

Output
space-group type = I4/mmm, No. 139
magnetization = 3.08 μB per formula unit
energy of formation from the pure elements = 0.18 eV/f.u.

The structure in Quantum ESPRESSO input format:
```
&SYSTEM
  ibrav = 0, nat = 4, ntyp = 3
/
ATOMIC_SPECIES
Fe 55.84 Fe.upf
Ta 180.95 Ta.upf
Cu 63.55 Cu.upf
CELL_PARAMETERS angstrom
4.5087 -0.0642 0.0222
2.9652 3.3970 0.0222
1.5881 0.7082 3.3684
ATOMIC_POSITIONS angstrom
Fe 0.0000 0.0000 0.0000
Fe 4.5309 2.0205 1.7064
Ta 6.7964 3.0308 2.5596
Cu 2.2655 1.0103 0.8532
```

***

No. 17
# TaFeCu2

A relaxed structure of TaFeCu2 (GGA-PBE, Alexandria). Values from VASP.

Output
space-group type = F-43m, No. 216
magnetization = 0.99 μB per formula unit
energy above the most stable polymorph in this dataset = 0.505 eV per formula unit
energy of formation from the pure elements = 0.66 eV/f.u.

The structure in Quantum ESPRESSO input format:
```
&SYSTEM
  ibrav = 0, nat = 4, ntyp = 3
/
ATOMIC_SPECIES
Cu 63.55 Cu.upf
Fe 55.84 Fe.upf
Ta 180.95 Ta.upf
CELL_PARAMETERS angstrom
-2.6936 2.8772 -1.5151
-2.5047 -0.9632 -3.2601
-4.1530 -0.4755 0.5967
ATOMIC_POSITIONS angstrom
Cu -2.3378 0.3596 -1.0446
Cu 0.0000 0.0000 0.0000
Fe -4.6757 0.7192 -2.0893
Ta -7.0135 1.0789 -3.1339
```

***

No. 18
# TaFeCu2

A relaxed structure of TaFeCu2 (GGA-PBE, Alexandria). Values from VASP.

Output
space-group type = P4/mmm, No. 123
magnetization = 2.67 μB per formula unit
energy above the most stable polymorph in this dataset = 0.541 eV per formula unit
energy of formation from the pure elements = 0.70 eV/f.u.

The structure in Quantum ESPRESSO input format:
```
&SYSTEM
  ibrav = 0, nat = 4, ntyp = 3
/
ATOMIC_SPECIES
Cu 63.55 Cu.upf
Fe 55.84 Fe.upf
Ta 180.95 Ta.upf
CELL_PARAMETERS angstrom
2.6991 -0.0030 0.0000
0.0031 2.6991 0.0000
0.0000 0.0000 7.4783
ATOMIC_POSITIONS angstrom
Cu 0.0000 0.0000 3.5863
Fe 1.3511 1.3480 1.8696
Cu 0.0000 0.0000 0.1529
Ta 1.3511 1.3480 5.6088
```

***

No. 19
# Ta4FeCu

A relaxed structure of Ta4FeCu (GGA-PBE, Alexandria). Values from VASP.

Output
space-group type = F-43m, No. 216
magnetization = 2.00 μB per formula unit
energy above the most stable polymorph in this dataset = 4.584 eV per formula unit
energy of formation from the pure elements = 4.32 eV/f.u.

The structure in Quantum ESPRESSO input format:
```
&SYSTEM
  ibrav = 0, nat = 6, ntyp = 3
/
ATOMIC_SPECIES
Ta 180.95 Ta.upf
Cu 63.55 Cu.upf
Fe 55.84 Fe.upf
CELL_PARAMETERS angstrom
-4.8690 -0.6561 2.1299
-3.6815 -2.9087 -2.5807
-1.4613 -4.7812 1.9180
ATOMIC_POSITIONS angstrom
Ta -4.4831 -5.5254 1.5121
Ta -3.7498 -3.1259 0.5495
Ta -6.1933 -3.4552 1.6184
Ta -5.5973 -4.5857 -0.7456
Cu -7.5088 -6.2596 1.1004
Fe 0.0000 0.0000 0.0000
```

***

No. 20
# TaFeCu2

A relaxed structure of TaFeCu2 (GGA-PBE, Alexandria). Values from VASP.

Output
space-group type = Immm, No. 71
magnetization = 0.00 μB per formula unit
energy above the most stable polymorph in this dataset = 0.000 eV per formula unit
energy of formation from the pure elements = 0.16 eV/f.u.

The structure in Quantum ESPRESSO input format:
```
&SYSTEM
  ibrav = 0, nat = 4, ntyp = 3
/
ATOMIC_SPECIES
Cu 63.55 Cu.upf
Ta 180.95 Ta.upf
Fe 55.84 Fe.upf
CELL_PARAMETERS angstrom
-0.8900 2.2515 4.1846
-4.3249 -0.6853 2.0488
3.5057 -2.7541 -1.8699
ATOMIC_POSITIONS angstrom
Cu -5.2141 1.5659 6.2324
Cu -2.6082 0.7833 3.1176
Ta 0.0041 0.1402 2.7157
Fe -1.7133 -1.3282 1.6478
```